(1)
Here is a relaxed structure of V2GaReTe from Alexandria. Energies are from PBE-GGA.

The raw total energy comes out at -6.591 eV per atom. For the calculated volume, the calculation gives 110.0 Å³/cell. As for the density of states at the Fermi level: 5.2 states/eV/cell. Its total magnetic moment is 3.76 μB per cell.

Lattice parameters (Å, degrees): 4.7714 4.7714 4.8338 90.00 90.00 90.00
Last column: nearest neighbours and their distance in Å.
Space group P4/mmm (No. 123)
Asymmetric unit:
V 0.0000 0.5000 0.0000 [2 per cell]  2 Re 2.39
Ga 0.0000 0.0000 0.5000 [1 per cell]  2 Re 2.42
Re 0.0000 0.0000 0.0000 [1 per cell]  4 V 2.39, 2 Ga 2.42
Te 0.5000 0.5000 0.5000 [1 per cell]  4 Ga 3.37, 8 V 3.40

(2)
Here is a relaxed structure of GaReTe2W from Alexandria. Energies are from PBE-GGA.

The raw total energy comes out at -5.674 eV per atom. For the calculated volume, the calculation gives 141.6 Å³/cell. As for the density of states at the Fermi level: 3.5 states/eV/cell. Its total magnetic moment is 2.66 μB per cell.

Lattice parameters (Å, degrees): 5.3495 5.3495 4.9477 90.00 90.00 90.00
Last column: nearest neighbours and their distance in Å.
Space group P4/mmm (No. 123)
Asymmetric unit:
Ga 0.0000 0.0000 0.0000 [1 per cell]  8 Te 3.64, 4 Re 3.78
Re 0.5000 0.5000 0.0000 [1 per cell]  2 W 2.47
Te 0.0000 0.5000 0.5000 [2 per cell]  2 W 2.67
W 0.5000 0.5000 0.5000 [1 per cell]  2 Re 2.47, 4 Te 2.67

(3)
Here is a relaxed structure of Th2GaRe from Alexandria. Energies are from PBE-GGA.

The raw total energy comes out at -7.033 eV per atom. For the calculated volume, the calculation gives 299.0 Å³/cell. The value obtained for the formation energy is 0.5452 eV/atom. As for the density of states at the Fermi level: 10.4 states/eV/cell. Its total magnetic moment is 0.00 μB per cell.

Lattice parameters (Å, degrees): 3.3319 3.3319 31.0961 90.00 90.00 120.00
Last column: nearest neighbours and their distance in Å.
Space group R-3m (No. 166, hexagonal axes)
Asymmetric unit:
Th 0.0000 0.0000 0.0841 [6 per cell]  1 Re 2.62
Ga 0.0000 0.0000 0.5000 [3 per cell]  6 Th 3.21, 6 Ga 3.33
Re 0.0000 0.0000 0.0000 [3 per cell]  2 Th 2.62

(4)
Here is a relaxed structure of ThGaRe from Alexandria. Energies are from PBE-GGA.

The raw total energy comes out at -7.713 eV per atom. For the calculated volume, the calculation gives 65.6 Å³/cell. The value obtained for the formation energy is -0.0811 eV/atom. As for the density of states at the Fermi level: 1.9 states/eV/cell. Its total magnetic moment is 0.00 μB per cell.

Lattice parameters (Å, degrees): 4.4150 4.4150 3.8846 90.00 90.00 120.00
Last column: nearest neighbours and their distance in Å.
Space group P-6m2 (No. 187)
Asymmetric unit:
Th 0.0000 0.0000 0.0000 [1 per cell]  6 Ga 3.20, 6 Re 3.20
Ga 0.3333 0.6667 0.5000 [1 per cell]  3 Re 2.55
Re 0.6667 0.3333 0.5000 [1 per cell]  3 Ga 2.55

(5)
Here is a relaxed structure of Th2GaRe from Alexandria. Energies are from PBE-GGA.

The raw total energy comes out at -7.714 eV per atom. For the calculated volume, the calculation gives 98.0 Å³/cell. The value obtained for the formation energy is -0.1357 eV/atom. As for the density of states at the Fermi level: 2.3 states/eV/cell. Its total magnetic moment is 0.00 μB per cell.

Lattice parameters (Å, degrees): 3.5602 3.5602 7.7337 90.00 90.00 90.00
Last column: nearest neighbours and their distance in Å.
Space group P4/mmm (No. 123)
Asymmetric unit:
Th 0.0000 0.0000 0.2280 [2 per cell]  4 Re 3.07, 4 Ga 3.28
Ga 0.5000 0.5000 0.5000 [1 per cell]  8 Th 3.28, 4 Ga 3.56
Re 0.5000 0.5000 0.0000 [1 per cell]  8 Th 3.07

(6)
Here is a relaxed structure of ThGa2Re from Alexandria. Energies are from PBE-GGA.

The raw total energy comes out at -6.500 eV per atom. For the calculated volume, the calculation gives 307.3 Å³/cell. The value obtained for the formation energy is -0.0194 eV/atom. As for the density of states at the Fermi level: 25.9 states/eV/cell. Its total magnetic moment is 0.00 μB per cell.

Lattice parameters (Å, degrees): 6.7482 6.7482 6.7482 90.00 90.00 90.00
Last column: nearest neighbours and their distance in Å.
Space group Fm-3m (No. 225)
Asymmetric unit:
Th 0.0000 0.0000 0.0000 [4 per cell]  8 Ga 2.92
Ga 0.2500 0.2500 0.2500 [8 per cell]  4 Th 2.92, 4 Re 2.92
Re 0.0000 0.0000 0.5000 [4 per cell]  8 Ga 2.92

(7)
Here is a relaxed structure of Th4GaRe from Alexandria. Energies are from PBE-GGA.

The raw total energy comes out at -7.714 eV per atom. For the calculated volume, the calculation gives 327.7 Å³/cell. The value obtained for the formation energy is -0.1880 eV/atom. As for the density of states at the Fermi level: 18.1 states/eV/cell. Its total magnetic moment is 0.00 μB per cell.

Lattice parameters (Å, degrees): 7.3477 7.3477 6.0697 90.00 90.00 90.00
Last column: nearest neighbours and their distance in Å.
Space group P4/mcc (No. 124)
Asymmetric unit:
Th 0.1510 0.3238 0.0000 [8 per cell]  2 Re 3.03, 2 Ga 3.25
Ga 0.5000 0.5000 0.2500 [2 per cell]  2 Ga 3.03, 8 Th 3.25
Re 0.0000 0.0000 0.2500 [2 per cell]  8 Th 3.03, 2 Re 3.03

(8)
Here is a relaxed structure of Ti6GaRe from Alexandria. Energies are from PBE-GGA.

The raw total energy comes out at -8.015 eV per atom. For the calculated volume, the calculation gives 262.2 Å³/cell. The value obtained for the formation energy is -0.1591 eV/atom. As for the density of states at the Fermi level: 18.3 states/eV/cell. Its total magnetic moment is 0.00 μB per cell.

Lattice parameters (Å, degrees): 4.6709 5.7836 9.7048 90.00 90.00 90.00
Last column: nearest neighbours and their distance in Å.
Space group Amm2 (No. 38)
Asymmetric unit:
Ti 0.0000 0.0000 0.0000 [2 per cell]  8 Ti 2.76-2.89, 2 Re 2.88, 2 Ga 2.89
Ti 0.0000 0.2377 0.2467 [4 per cell]  8 Ti 2.75-3.03, 2 Ga 2.79-2.86, 2 Re 2.80
Ti 0.5000 0.0000 0.6814 [2 per cell]  8 Ti 2.80-2.86, 2 Re 2.89, 2 Ga 2.90
Ti 0.5000 0.2427 0.4320 [4 per cell]  2 Re 2.78-2.87, 8 Ti 2.80-2.98, 2 Ga 2.82
Ga 0.0000 0.0000 0.5050 [2 per cell]  12 Ti 2.79-2.90
Re 0.5000 0.0000 0.1737 [2 per cell]  12 Ti 2.78-2.89

(9)
Here is a relaxed structure of Ti6Ga10Re from Alexandria. Energies are from PBE-GGA.

The raw total energy comes out at -5.550 eV per atom. For the calculated volume, the calculation gives 275.9 Å³/cell. The value obtained for the formation energy is -0.2505 eV/atom. As for the density of states at the Fermi level: 12.1 states/eV/cell. Its total magnetic moment is 0.00 μB per cell.

Lattice parameters (Å, degrees): 7.7191 7.7191 5.3464 90.00 90.00 120.00
Last column: nearest neighbours and their distance in Å.
Space group P-31m (No. 162)
Asymmetric unit:
Ti 0.0000 0.3814 0.2918 [6 per cell]  9 Ga 2.65-2.92, 1 Ti 2.88
Ga 0.0000 0.2575 0.8078 [6 per cell]  1 Re 2.58, 4 Ti 2.66-2.84, 2 Ga 2.86
Ga 0.3333 0.6667 0.0000 [2 per cell]  2 Ga 2.67, 6 Ti 2.87
Ga 0.3333 0.6667 0.5000 [2 per cell]  6 Ti 2.65, 2 Ga 2.67
Re 0.0000 0.0000 0.5000 [1 per cell]  6 Ga 2.58

(10)
Here is a relaxed structure of Ti12Ga6Re from Alexandria. Energies are from PBE-GGA.

The raw total energy comes out at -6.846 eV per atom. For the calculated volume, the calculation gives 936.2 Å³/cell. The value obtained for the formation energy is -0.2491 eV/atom. As for the density of states at the Fermi level: 61.6 states/eV/cell. Its total magnetic moment is 0.00 μB per cell.

Lattice parameters (Å, degrees): 9.6163 9.6163 11.6900 90.00 90.00 120.00
Last column: nearest neighbours and their distance in Å.
Space group R-3 (No. 148, hexagonal axes)
Asymmetric unit:
Ti 0.0433 0.8597 0.3135 [18 per cell]  4 Ti 2.70-2.78, 1 Re 2.70, 5 Ga 2.79-2.93
Ti 0.0674 0.2146 0.9107 [18 per cell]  4 Ga 2.67-2.84, 4 Ti 2.78-2.79
Ga 0.0270 0.5901 0.2109 [18 per cell]  9 Ti 2.67-2.93, 1 Re 2.71, 2 Ga 2.85
Re 0.0000 0.0000 0.5000 [3 per cell]  6 Ti 2.70, 6 Ga 2.71

(11)
Here is a relaxed structure of Ti3Ga2Re from Alexandria. Energies are from PBE-GGA.

The raw total energy comes out at -7.492 eV per atom. For the calculated volume, the calculation gives 93.5 Å³/cell. The value obtained for the formation energy is -0.4611 eV/atom. As for the density of states at the Fermi level: 4.5 states/eV/cell. Its total magnetic moment is 0.39 μB per cell.

Lattice parameters (Å, degrees): 3.2273 3.2273 8.9796 90.00 90.00 90.00
Last column: nearest neighbours and their distance in Å.
Space group P4/mmm (No. 123)
Asymmetric unit:
Ti 0.0000 0.0000 0.0000 [1 per cell]  8 Ga 2.77, 2 Ti 3.04
Ti 0.0000 0.0000 0.3385 [2 per cell]  4 Re 2.70, 4 Ga 2.72, 1 Ti 2.90
Ga 0.5000 0.5000 0.1739 [2 per cell]  8 Ti 2.72-2.77, 1 Re 2.93
Re 0.5000 0.5000 0.5000 [1 per cell]  8 Ti 2.70, 2 Ga 2.93

(12)
Here is a relaxed structure of Ti2Ga2Re from Alexandria. Energies are from PBE-GGA.

The raw total energy comes out at -7.248 eV per atom. For the calculated volume, the calculation gives 153.7 Å³/cell. The value obtained for the formation energy is -0.3899 eV/atom. As for the density of states at the Fermi level: 3.8 states/eV/cell. Its total magnetic moment is 0.00 μB per cell.

Lattice parameters (Å, degrees): 6.7027 6.7027 3.4211 90.00 90.00 90.00
Last column: nearest neighbours and their distance in Å.
Space group P4/mbm (No. 127)
Asymmetric unit:
Ti 0.1750 0.3250 0.0000 [4 per cell]  6 Ga 2.53-2.68
Ga 0.1291 0.6291 0.5000 [4 per cell]  1 Ga 2.45, 6 Ti 2.53-2.68, 2 Re 2.63
Re 0.0000 0.0000 0.5000 [2 per cell]  4 Ga 2.63

(13)
Here is a relaxed structure of TiGa3Re from Alexandria. Energies are from PBE-GGA.

The raw total energy comes out at -5.297 eV per atom. For the calculated volume, the calculation gives 107.0 Å³/cell. The value obtained for the formation energy is 0.5882 eV/atom. As for the density of states at the Fermi level: 5.8 states/eV/cell. Its total magnetic moment is 0.00 μB per cell.

Lattice parameters (Å, degrees): 4.7479 4.7479 4.7479 90.00 90.00 90.00
Last column: nearest neighbours and their distance in Å.
Space group Pm-3m (No. 221)
Asymmetric unit:
Ti 0.0000 0.0000 0.0000 [1 per cell]  12 Ga 3.36
Ga 0.0000 0.5000 0.5000 [3 per cell]  2 Re 2.37
Re 0.5000 0.5000 0.5000 [1 per cell]  6 Ga 2.37